Here is Ca2PmRuO6 after structural relaxation from Alexandria. Energies are from PBE-GGA.

For the raw total energy, the calculation gives -7.1540 eV per atom. The uncorrected formation energy comes out at -2.3761 eV per atom.

The structure belongs to space group P2_1/c (No. 14); the cell edges are 5.6472, 5.9012 and 9.8626 Å and the angles 90.00°, 124.21° and 90.00°. The distinct sites, in fractional coordinates, are Ca at (0.2345, 0.0566, 0.2528), Pm at (0.5000, 0.0000, 0.0000), Ru at (0.0000, 0.0000, 0.5000), O at (0.1026, 0.2200, 0.9297), O at (0.2262, 0.6807, 0.9429) and O at (0.3460, 0.0540, 0.7269).